Record 1
The following is a DFT calculation (PBE) of HoMgGa5 after structural relaxation.

The structure belongs to space group P4/mmm (No. 123); the cell edges are 4.076, 4.076 and 8.741 Å and the angles 90.00°, 90.00° and 90.00°. The asymmetric unit holds Ho at (0.000, 0.000, 0.000), Mg at (0.500, 0.500, 0.500), Ga at (0.000, 0.500, 0.261) and Ga at (0.500, 0.500, 0.000).

The calculation puts the size of the total moment at 0.0 Bohr magnetons per cell. The value obtained for the uncorrected energy is -3.274 eV/atom.

=====

Record 2
The following is a DFT calculation (PBE) of Dy4Te5O after structural relaxation.

The structure belongs to space group C2/m (No. 12); the cell edges are 16.639, 4.445 and 11.081 Å and the angles 90.00°, 106.94° and 90.00°. The asymmetric unit holds Dy at (0.003, 0.000, 0.312), Dy at (0.128, 0.500, 0.061), Te at (0.000, 0.500, 0.500), Te at (0.158, 0.000, 0.877), Te at (0.164, 0.000, 0.269) and O at (0.000, 0.500, 0.000).

The calculation puts the size of the total moment at 0.0 Bohr magnetons per cell. As for the energy relative to the elements, uncorrected: -14.792 eV/f.u.

=====

Record 3
The following is a DFT calculation (PBE) of TmBi3 after structural relaxation.

The structure belongs to space group P6_3/mmc (No. 194); the cell edges are 6.8801, 6.8801 and 5.8781 Å and the angles 90.00°, 90.00° and 120.00°. The asymmetric unit holds Tm at (0.3333, 0.6667, 0.2500) and Bi at (0.1744, 0.3487, 0.7500).

The calculation puts the size of the total moment at 0.0 Bohr magnetons per cell. The value obtained for the uncorrected energy is -4.296 eV/atom.

=====

Record 4
The following is a DFT calculation (PBE) of Nd2Ag2P3 after structural relaxation.

The structure belongs to space group C2/m (No. 12); the cell edges are 15.258, 4.198 and 11.670 Å and the angles 90.00°, 125.84° and 90.00°. The asymmetric unit holds Nd at (0.108, 0.000, 0.446), Nd at (0.236, 0.000, 0.837), Ag at (0.050, 0.500, 0.819), Ag at (0.090, 0.000, 0.157), P at (0.075, 0.500, 0.612), P at (0.129, 0.000, 0.974) and P at (0.166, 0.500, 0.323).

The calculation puts the size of the total moment at 0.0 Bohr magnetons per cell. The value obtained for the uncorrected energy is -5.318 eV/atom.

=====

Record 5
The following is a DFT calculation (PBE) of Mg4ZnCu2 after structural relaxation.

The structure belongs to space group I4/mmm (No. 139); the cell edges are 8.906, 8.906 and 4.512 Å and the angles 90.00°, 90.00° and 90.00°. The asymmetric unit holds Mg at (0.000, 0.238, 0.000), Zn at (0.000, 0.000, 0.500) and Cu at (0.000, 0.500, 0.250).

The calculation puts the size of the total moment at 0.0 Bohr magnetons per cell. The value obtained for the uncorrected energy is -1.889 eV/atom.

=====

Record 6
The following is a DFT calculation (PBE) of ThZrFeTc after structural relaxation.

The structure belongs to space group F-43m (No. 216); the cell edges are 6.786, 6.786 and 6.786 Å and the angles 90.00°, 90.00° and 90.00°. The asymmetric unit holds Th at (0.000, 0.000, 0.000), Zr at (0.000, 0.000, 0.500), Fe at (0.250, 0.250, 0.250) and Tc at (0.250, 0.250, 0.750).

The calculation puts the size of the total moment at 5.0 Bohr magnetons per cell. The value obtained for the uncorrected energy is -8.767 eV/atom.